The following is a PBE+U calculation of BaCoSeO after structural relaxation, from OQMD via LeMat-Bulk.

Summary:
Space-group type   Cmc2_1 (36)
V   23.55 Å³/atom
Density   5.13 g/cm³
Electronic total energy   -42.487 eV per cell

Cell: 4.1929 4.1285 12.6322 Å, 90.00 90.00 120.52°
Closest atoms and distances in Å follow each position.
Positions (direct):
1 Co 0.7403 0.4807 0.7214  1 O 1.88
2 Co 0.2596 0.5193 0.2214  1 O 1.88
3 Ba 0.9096 0.8192 0.4411  3 O 2.54-2.57
4 Ba 0.0904 0.1808 0.9411  3 O 2.54-2.57
5 O 0.7569 0.5139 0.8695  1 Co 1.88
6 O 0.2431 0.4861 0.3695  1 Co 1.88
7 Se 0.5950 0.1900 0.1556  3 Co 2.53-2.54
8 Se 0.4050 0.8101 0.6556  3 Co 2.53-2.54